Entry 1:
Material: YAgSb2
Method: DFT, meta-GGA SCAN
State: single point on PBEsol structure

Lattice parameters (Å, degrees): 4.2907 4.2907 10.1830 90.00 90.00 90.00
Sites, in units of the cell vectors:
Y 0.0000 0.5000 0.2621
Y 0.5000 0.0000 0.7379
Sb 0.0000 0.5000 0.8161
Sb 0.5000 0.0000 0.1839
Sb 0.0000 0.0000 0.5000
Sb 0.5000 0.5000 0.5000
Ag 0.0000 0.0000 0.0000
Ag 0.5000 0.5000 0.0000

* magnetic moment: 0.00 μB/f.u.
* formation energy (no corrections): -700 meV/atom
* SG: P4/nmm (129)
* total DFT energy (no corrections): -34.13 eV per atom

=====

Entry 2:
Material: KSi2Cl
Method: DFT, meta-GGA SCAN
State: single point on PBEsol structure

Lattice parameters (Å, degrees): 2.9828 2.9828 9.1558 90.00 90.00 90.00
Sites, in units of the cell vectors:
K 0.5000 0.5000 0.5000
Si 0.0000 0.0000 0.7875
Si 0.0000 0.0000 0.2125
Cl 0.5000 0.5000 0.0000

* magnetic moment: 0.00 μB/f.u.
* formation energy (no corrections): 781 meV/atom
* SG: P4/mmm (123)
* total DFT energy (no corrections): -8.30 eV per atom

=====

Entry 3:
Material: RbNa2GaB
Method: DFT, meta-GGA SCAN
State: single point on PBEsol structure

Lattice parameters (Å, degrees): 3.9872 5.6060 5.6060 90.00 90.00 90.00
Sites, in units of the cell vectors:
Na 0.0000 0.0000 0.5000
Na 0.0000 0.5000 0.0000
B 0.0000 0.0000 0.0000
Ga 0.5000 0.0000 0.0000
Rb 0.5000 0.5000 0.5000

* magnetic moment: 0.00 μB/f.u.
* ΔE_f: 0.344 eV/atom
* SG: P4/mmm (123)
* total DFT energy (no corrections): -10.25 eV per atom